Computed, not measured: a geometry-optimized Nd4Dy5Er3 structure at the PBE level of DFT.

Properties
The total magnetization is 0.04 μB/atom. The formation energy comes out at 2.74 eV per formula unit.

abc: 16.1366 5.9242 9.3811
angles: 90.00 116.76 90.00
Space group C2/m (No. 12)
Unique sites:
Nd: 0.0840 0.0000 0.4456
Nd: 0.2166 0.0000 0.8812
Dy: 0.0000 0.0000 0.0000
Dy: 0.0711 0.5000 0.7026
Dy: 0.1712 0.5000 0.3843
Er: 0.0000 0.5000 0.0000
Er: 0.2119 0.0000 0.2352

***

Computed, not measured: a geometry-optimized Fe2NiSb structure at the PBE level of DFT.

Properties
For the energy relative to the elements, uncorrected, the calculation gives 0.050 eV per atom. The total magnetization is 1.21 μB/atom.

abc: 3.9821 3.9821 6.8182
angles: 90.00 90.00 90.00
Space group I-4m2 (No. 119)
Unique sites:
Fe: 0.0000 0.0000 0.0000
Fe: 0.0000 0.5000 0.2500
Ni: 0.0000 0.0000 0.5000
Sb: 0.0000 0.5000 0.7500